No. 1
Material: Tb2PrN3
Method: DFT, GGA-PBE
State: optimized geometry

Summary:
N(E_F) = 0.015 states/eV per atom
Calculated total energy = -8.017 eV/atom
Spin magnetization = 0.000 μB/atom

Unit cell a=6.1741 b=6.1741 c=6.1735 alpha=99.59 beta=99.59 gamma=120.00
Fractional coordinates of all 12 atoms:
Tb 0.0000 0.0000 0.0000
Tb 0.1649 0.8351 0.5000
Tb 0.5000 0.5000 0.5000
Tb 0.8351 0.1649 0.5000
Pr 0.3331 0.6669 0.0000
Pr 0.6669 0.3331 0.0000
N 0.0859 0.4112 0.2576
N 0.2396 0.2396 0.7421
N 0.4112 0.0859 0.2576
N 0.5888 0.9141 0.7424
N 0.7604 0.7604 0.2579
N 0.9141 0.5888 0.7424

***

No. 2
Material: SmGaCl4
Method: DFT, GGA-PBE
State: optimized geometry

Summary:
N(E_F) = 0.000 states/eV per atom
Calculated total energy = -4.248 eV/atom
Spin magnetization = 0.000 μB/atom

Unit cell a=6.7489 b=6.7489 c=7.7855 alpha=100.45 beta=100.45 gamma=36.29
Fractional coordinates of all 6 atoms:
Sm 0.0000 0.0000 0.0000
Ga 0.5000 0.5000 0.5000
Cl 0.1091 0.1091 0.3279
Cl 0.3834 0.3834 0.0968
Cl 0.6166 0.6166 0.9032
Cl 0.8909 0.8909 0.6721

***

No. 3
Material: Ca3SiGe6Pd2
Method: DFT, GGA-PBE
State: optimized geometry

Summary:
N(E_F) = 0.370 states/eV per atom
Calculated total energy = -4.350 eV/atom
Spin magnetization = 0.000 μB/atom

Unit cell a=5.7925 b=5.7925 c=8.6984 alpha=90.00 beta=90.00 gamma=120.00
Fractional coordinates of all 12 atoms:
Ca 0.0000 0.0000 0.0000
Ca 0.3333 0.6667 0.5989
Ca 0.6667 0.3333 0.4011
Si 0.0000 0.0000 0.5000
Ge 0.1792 0.3584 0.2739
Ge 0.1792 0.8208 0.2739
Ge 0.3584 0.1792 0.7261
Ge 0.6416 0.8208 0.2739
Ge 0.8208 0.1792 0.7261
Ge 0.8208 0.6416 0.7261
Pd 0.3333 0.6667 0.0268
Pd 0.6667 0.3333 0.9732